MnFe2GeO6 GGA+U relaxed; total DFT energy (no corrections) = -6.705 eV per atom; symmetry = No. 1
1.0
5.0760 0.0000 0.0000
2.5379 4.4063 0.0000
2.5248 1.4797 4.6331
Mn Fe Ge O
1 2 1 6
Direct
0.0000 0.0000 0.0000
0.2748 0.2754 0.1747
0.7913 0.7901 0.6301
0.4788 0.4767 0.5658
0.0791 0.4234 0.8376
0.1993 0.8657 0.3705
0.4222 0.6607 0.8375
0.5659 0.1999 0.3701
0.6567 0.0777 0.8401
0.8665 0.5611 0.3719